This record from the Alexandria database describes a relaxed MnAl2Te crystal. The functional is PBE.

Summary:
energy relative to the elements, uncorrected: 0.517 eV per atom
total moment: 0.0 μB per formula unit

Unit cell a=8.2734 b=8.2734 c=4.8124 alpha=90.00 beta=90.00 gamma=90.00
Atoms (fractional coordinates):
Mn1 0.0000 0.0000 0.0000
Mn2 0.0000 0.5000 0.2500
Mn3 0.5000 0.0000 0.7500
Mn4 0.5000 0.5000 0.5000
Al1 0.1527 0.2500 0.1250
Al2 0.2500 0.6527 0.3750
Al3 0.2500 0.8473 0.8750
Al4 0.3473 0.2500 0.6250
Al5 0.6527 0.7500 0.6250
Al6 0.7500 0.1527 0.8750
Al7 0.7500 0.3473 0.3750
Al8 0.8473 0.7500 0.1250
Te1 0.0000 0.0000 0.5000
Te2 0.0000 0.5000 0.7500
Te3 0.5000 0.0000 0.2500
Te4 0.5000 0.5000 0.0000



This record from the Alexandria database describes a relaxed MnAlTe4 crystal. The functional is PBE.

Summary:
energy relative to the elements, uncorrected: -0.234 eV per atom
total moment: 2.7 μB per formula unit

Unit cell a=6.2178 b=3.8428 c=6.8843 alpha=90.00 beta=90.18 gamma=90.00
Atoms (fractional coordinates):
Mn1 0.0000 0.0000 0.0000
Al1 0.0000 0.5000 0.5000
Te1 0.2449 0.5000 0.1597
Te2 0.2530 0.0000 0.6826
Te3 0.7470 0.0000 0.3174
Te4 0.7551 0.5000 0.8403